# 1
A plane-wave DFT calculation with PBE was carried out for a geometry-optimized OsPbSe4 structure.

The structure in POSCAR format:
```
OsPbSe4
1.0
0.000 4.064 4.064
4.064 0.000 4.064
4.064 4.064 0.000
Os Pb Se
1 1 4
Direct
0.000 0.000 0.000
0.750 0.750 0.750
0.373 0.373 0.373
0.373 0.373 0.881
0.373 0.881 0.373
0.881 0.373 0.373
```

Computed properties:
Its crystal system is cubic. Its space-group type is No. 216. The total magnetic moment comes out at 0.551 μB per atom. The formation energy (no corrections) comes out at 1.15 eV/atom. The final energy comes out at -21.99 eV/cell.

=====

# 2
A plane-wave DFT calculation with PBE was carried out for a geometry-optimized KY2MgF structure.

The structure in POSCAR format:
```
KY2MgF
1.0
5.015 0.000 0.000
0.000 5.015 0.000
0.000 0.000 5.310
K Y Mg F
1 2 1 1
Direct
0.000 0.000 0.000
0.000 0.500 0.500
0.500 0.000 0.500
0.500 0.500 0.000
0.000 0.000 0.500
```

Computed properties:
Its crystal system is tetragonal. Its space-group type is No. 123. The total magnetic moment comes out at 0.000 μB per atom. The formation energy (no corrections) comes out at -0.68 eV/atom. The final energy comes out at -20.89 eV/cell.

=====

# 3
A plane-wave DFT calculation with PBE was carried out for a geometry-optimized Nd2Sm3Ho6 structure.

The structure in POSCAR format:
```
Nd2Sm3Ho6
1.0
3.075 -5.334 0.000
3.075 5.334 0.000
-2.066 0.000 11.514
Nd Sm Ho
2 3 6
Direct
0.167 0.833 0.000
0.833 0.167 0.000
0.000 0.000 0.500
0.336 0.664 0.500
0.664 0.336 0.500
0.083 0.416 0.749
0.250 0.250 0.251
0.416 0.083 0.749
0.584 0.917 0.251
0.750 0.750 0.749
0.917 0.584 0.251
```

Computed properties:
Its crystal system is monoclinic. Its space-group type is No. 12. For the formation energy from the elements, the calculation gives 185 meV/atom. The total magnetic moment comes out at 0.000 μB per atom. The final energy comes out at -49.13 eV/cell.

=====

# 4
A plane-wave DFT calculation with PBE was carried out for a geometry-optimized Mg6NbGa structure.

The structure in POSCAR format:
```
Mg6NbGa
1.0
4.963 0.000 0.000
0.000 5.963 0.000
0.000 0.000 10.939
Mg Nb Ga
12 2 2
Direct
0.000 0.000 0.000
0.000 0.000 0.498
0.000 0.242 0.757
0.000 0.258 0.257
0.000 0.500 0.500
0.000 0.500 0.998
0.000 0.742 0.257
0.000 0.758 0.757
0.500 0.249 0.096
0.500 0.251 0.596
0.500 0.749 0.596
0.500 0.751 0.096
0.500 0.000 0.848
0.500 0.500 0.348
0.500 0.000 0.343
0.500 0.500 0.843
```

Computed properties:
Its crystal system is orthorhombic. Its space-group type is No. 38. For the formation energy from the elements, the calculation gives 76 meV/atom. The total magnetic moment comes out at 0.000 μB per atom. The final energy comes out at -44.12 eV/cell.

=====

# 5
A plane-wave DFT calculation with PBE was carried out for a geometry-optimized DySc6 structure.

The structure in POSCAR format:
```
DySc6
1.0
6.049 0.000 0.000
0.000 6.049 0.000
0.000 0.000 10.133
Dy Sc
2 12
Direct
0.250 0.750 0.000
0.750 0.250 0.000
0.082 0.582 0.363
0.082 0.918 0.637
0.250 0.250 0.144
0.250 0.250 0.856
0.418 0.582 0.637
0.418 0.918 0.363
0.582 0.082 0.637
0.582 0.418 0.363
0.750 0.750 0.144
0.750 0.750 0.856
0.918 0.082 0.363
0.918 0.418 0.637
```

Computed properties:
Its crystal system is tetragonal. Its space-group type is No. 125. For the formation energy from the elements, the calculation gives 244 meV/atom. The total magnetic moment comes out at 0.079 μB per atom. The final energy comes out at -81.76 eV/cell.

=====

# 6
A plane-wave DFT calculation with PBE was carried out for a geometry-optimized BaSr2Y structure.

The structure in POSCAR format:
```
BaSr2Y
1.0
4.431 0.000 0.000
0.000 6.562 0.000
0.000 0.000 13.109
Ba Sr Y
2 4 2
Direct
0.000 0.000 0.000
0.500 0.500 0.500
0.000 0.000 0.527
0.000 0.500 0.766
0.500 0.000 0.266
0.500 0.500 0.027
0.000 0.500 0.261
0.500 0.000 0.761
```

Computed properties:
Its crystal system is orthorhombic. Its space-group type is No. 44. For the formation energy from the elements, the calculation gives 182 meV/atom. The total magnetic moment comes out at 0.000 μB per atom. The final energy comes out at -22.04 eV/cell.

=====

# 7
A plane-wave DFT calculation with PBE was carried out for a geometry-optimized CrIn2Pb structure.

The structure in POSCAR format:
```
CrIn2Pb
1.0
3.530 0.000 0.000
0.000 5.002 0.000
-1.271 0.000 5.717
Cr In Pb
1 2 1
Direct
0.000 0.000 0.000
0.162 0.500 0.769
0.838 0.500 0.231
0.500 0.000 0.500
```

Computed properties:
Its crystal system is monoclinic. Its space-group type is No. 10. For the formation energy from the elements, the calculation gives 366 meV/atom. The total magnetic moment comes out at 1.057 μB per atom. The final energy comes out at -17.35 eV/cell.

=====

# 8
A plane-wave DFT calculation with PBE was carried out for a geometry-optimized Tb4Tm2Sc structure.

The structure in POSCAR format:
```
Tb4Tm2Sc
1.0
6.058 0.000 0.000
0.000 6.466 0.000
-2.967 0.000 10.900
Tb Tm Sc
8 4 2
Direct
0.038 0.250 0.369
0.149 0.250 0.942
0.355 0.506 0.214
0.355 0.994 0.214
0.645 0.006 0.786
0.645 0.494 0.786
0.851 0.750 0.058
0.962 0.750 0.631
0.282 0.750 0.922
0.388 0.750 0.500
0.612 0.250 0.500
0.718 0.250 0.078
0.155 0.250 0.663
0.845 0.750 0.337
```

Computed properties:
Its crystal system is monoclinic. Its space-group type is No. 11. For the formation energy from the elements, the calculation gives 142 meV/atom. The total magnetic moment comes out at 0.000 μB per atom. The final energy comes out at -65.61 eV/cell.

=====

# 9
A plane-wave DFT calculation with PBE was carried out for a geometry-optimized Tb4OsAu3 structure.

The structure in POSCAR format:
```
Tb4OsAu3
1.0
3.516 0.000 0.000
0.000 3.516 0.000
0.000 0.000 14.673
Tb Os Au
4 1 3
Direct
0.000 0.000 0.114
0.000 0.000 0.372
0.000 0.000 0.628
0.000 0.000 0.886
0.500 0.500 0.000
0.500 0.500 0.248
0.500 0.500 0.500
0.500 0.500 0.752
```

Computed properties:
Its crystal system is tetragonal. Its space-group type is No. 123. For the formation energy from the elements, the calculation gives -675 meV/atom. The total magnetic moment comes out at 0.000 μB per atom. The final energy comes out at -44.98 eV/cell.

=====

# 10
A plane-wave DFT calculation with PBE was carried out for a geometry-optimized Er4MgNiRu2 structure.

The structure in POSCAR format:
```
Er4MgNiRu2
1.0
2.427 1.401 7.963
-2.427 1.401 7.963
0.000 -2.802 7.963
Er Mg Ni Ru
4 1 1 2
Direct
0.119 0.119 0.119
0.370 0.370 0.370
0.630 0.630 0.630
0.881 0.881 0.881
0.500 0.500 0.500
0.000 0.000 0.000
0.248 0.248 0.248
0.752 0.752 0.752
```

Computed properties:
Its crystal system is trigonal. Its space-group type is No. 166. For the formation energy from the elements, the calculation gives -363 meV/atom. The total magnetic moment comes out at 0.000 μB per atom. The final energy comes out at -47.09 eV/cell.

=====

# 11
A plane-wave DFT calculation with PBE was carried out for a geometry-optimized Tl2AuN2 structure.

The structure in POSCAR format:
```
Tl2AuN2
1.0
4.911 0.000 0.000
0.000 4.910 0.000
-0.047 0.000 11.601
Tl Au N
4 2 4
Direct
0.002 0.000 0.167
0.498 0.500 0.833
0.502 0.500 0.167
0.998 0.000 0.833
0.000 0.500 0.000
0.500 0.000 0.000
0.001 0.500 0.452
0.499 0.000 0.548
0.501 0.000 0.452
0.999 0.500 0.548
```

Computed properties:
Its crystal system is monoclinic. Its space-group type is No. 12. The total magnetic moment comes out at 0.000 μB per atom. The formation energy (no corrections) comes out at 0.04 eV/atom. The final energy comes out at -48.97 eV/cell.

=====

# 12
A plane-wave DFT calculation with PBE was carried out for a geometry-optimized CuPOsS structure.

The structure in POSCAR format:
```
CuPOsS
1.0
4.715 0.000 0.000
0.000 3.191 0.000
0.000 0.000 8.017
Cu P Os S
2 2 2 2
Direct
0.000 0.000 0.000
0.000 0.500 0.500
0.500 0.000 0.884
0.500 0.500 0.384
0.500 0.000 0.176
0.500 0.500 0.676
0.000 0.000 0.280
0.000 0.500 0.780
```

Computed properties:
Its crystal system is orthorhombic. Its space-group type is No. 38. The total magnetic moment comes out at 0.000 μB per atom. The formation energy (no corrections) comes out at 0.05 eV/atom. The final energy comes out at -49.30 eV/cell.

=====

# 13
A plane-wave DFT calculation with PBE was carried out for a geometry-optimized TaCrNi structure.

The structure in POSCAR format:
```
TaCrNi
1.0
3.412 0.000 0.000
0.000 4.036 0.000
0.000 0.000 11.871
Ta Cr Ni
4 4 4
Direct
0.000 0.000 0.000
0.000 0.500 0.500
0.500 0.000 0.500
0.500 0.500 0.000
0.000 0.000 0.319
0.000 0.500 0.819
0.500 0.000 0.819
0.500 0.500 0.319
0.000 0.000 0.674
0.000 0.500 0.174
0.500 0.000 0.174
0.500 0.500 0.674
```

Computed properties:
Its crystal system is orthorhombic. Its space-group type is No. 42. For the formation energy from the elements, the calculation gives 83 meV/atom. The total magnetic moment comes out at 0.000 μB per atom. The final energy comes out at -108.04 eV/cell.

=====

# 14
A plane-wave DFT calculation with PBE was carried out for a geometry-optimized Re2Cl structure.

The structure in POSCAR format:
```
Re2Cl
1.0
4.203 0.000 0.000
-2.101 3.640 0.000
0.000 0.000 2.901
Re Cl
2 1
Direct
0.333 0.667 0.250
0.667 0.333 0.750
0.000 0.000 0.500
```

Computed properties:
Its crystal system is trigonal. Its space-group type is No. 164. The total magnetic moment comes out at 0.000 μB per atom. The formation energy (no corrections) comes out at 0.91 eV/atom. The final energy comes out at -24.02 eV/cell.

=====

# 15
A plane-wave DFT calculation with PBE was carried out for a geometry-optimized SrAg5Br12 structure.

The structure in POSCAR format:
```
SrAg5Br12
1.0
3.448 -6.361 0.000
3.448 6.361 0.000
-1.457 0.000 13.008
Sr Ag Br
1 5 12
Direct
0.000 0.000 0.000
0.167 0.833 0.500
0.341 0.659 0.000
0.500 0.500 0.500
0.659 0.341 0.000
0.833 0.167 0.500
0.001 0.647 0.121
0.114 0.447 0.384
0.217 0.217 0.615
0.353 0.999 0.879
0.385 0.385 0.134
0.447 0.114 0.384
0.553 0.886 0.616
0.615 0.615 0.866
0.647 0.001 0.121
0.783 0.783 0.385
0.886 0.553 0.616
0.999 0.353 0.879
```

Computed properties:
Its crystal system is monoclinic. Its space-group type is No. 12. The total magnetic moment comes out at 0.056 μB per atom. The formation energy (no corrections) comes out at -0.47 eV/atom. The final energy comes out at -44.42 eV/cell.

=====

# 16
A plane-wave DFT calculation with PBE was carried out for a geometry-optimized Y4InSe2 structure.

The structure in POSCAR format:
```
Y4InSe2
1.0
2.030 -6.758 0.000
2.030 6.758 0.000
0.000 0.000 13.910
Y In Se
8 2 4
Direct
0.000 0.000 0.000
0.000 0.000 0.500
0.270 0.730 0.622
0.270 0.730 0.878
0.430 0.570 0.250
0.570 0.430 0.750
0.730 0.270 0.122
0.730 0.270 0.378
0.104 0.896 0.250
0.896 0.104 0.750
0.364 0.636 0.058
0.364 0.636 0.442
0.636 0.364 0.558
0.636 0.364 0.942
```

Computed properties:
Its crystal system is orthorhombic. Its space-group type is No. 63. The total magnetic moment comes out at 0.000 μB per atom. The formation energy (no corrections) comes out at -1.18 eV/atom. The final energy comes out at -87.67 eV/cell.

=====

# 17
A plane-wave DFT calculation with PBE was carried out for a geometry-optimized Tl12Te5Br3 structure.

The structure in POSCAR format:
```
Tl12Te5Br3
1.0
-9.618 9.618 9.618
9.618 -9.618 9.618
9.618 9.618 -9.618
Tl Te Br
48 20 12
Direct
0.059 0.226 0.147
0.059 0.333 0.912
0.079 0.726 0.667
0.079 0.853 0.412
0.088 0.647 0.421
0.088 0.941 0.667
0.147 0.059 0.226
0.147 0.588 0.921
0.167 0.226 0.579
0.167 0.441 0.588
0.226 0.147 0.059
0.226 0.579 0.167
0.274 0.333 0.921
0.274 0.441 0.353
0.333 0.912 0.059
0.333 0.921 0.274
0.353 0.274 0.441
0.353 0.579 0.912
0.412 0.079 0.853
0.412 0.833 0.559
0.421 0.088 0.647
0.421 0.833 0.774
0.441 0.353 0.274
0.441 0.588 0.167
0.559 0.412 0.833
0.559 0.647 0.726
0.579 0.167 0.226
0.579 0.912 0.353
0.588 0.167 0.441
0.588 0.921 0.147
0.647 0.421 0.088
0.647 0.726 0.559
0.667 0.079 0.726
0.667 0.088 0.941
0.726 0.559 0.647
0.726 0.667 0.079
0.774 0.421 0.833
0.774 0.853 0.941
0.833 0.559 0.412
0.833 0.774 0.421
0.853 0.412 0.079
0.853 0.941 0.774
0.912 0.059 0.333
0.912 0.353 0.579
0.921 0.147 0.588
0.921 0.274 0.333
0.941 0.667 0.088
0.941 0.774 0.853
0.000 0.000 0.000
0.000 0.000 0.500
0.000 0.500 0.000
0.000 0.500 0.500
0.125 0.750 0.875
0.125 0.875 0.250
0.250 0.125 0.875
0.250 0.625 0.375
0.375 0.250 0.625
0.375 0.625 0.750
0.500 0.000 0.000
0.500 0.000 0.500
0.500 0.500 0.000
0.500 0.500 0.500
0.625 0.375 0.250
0.625 0.750 0.375
0.750 0.375 0.625
0.750 0.875 0.125
0.875 0.125 0.750
0.875 0.250 0.125
0.125 0.250 0.375
0.125 0.375 0.750
0.250 0.375 0.125
0.250 0.875 0.625
0.375 0.125 0.250
0.375 0.750 0.125
0.625 0.250 0.875
0.625 0.875 0.750
0.750 0.125 0.375
0.750 0.625 0.875
0.875 0.625 0.250
0.875 0.750 0.625
```

Computed properties:
Its crystal system is cubic. Its space-group type is No. 230. The total magnetic moment comes out at 0.000 μB per atom. The formation energy (no corrections) comes out at -0.34 eV/atom. The final energy comes out at -223.50 eV/cell.

=====

# 18
A plane-wave DFT calculation with PBE was carried out for a geometry-optimized VCo4 structure.

The structure in POSCAR format:
```
VCo4
1.0
3.329 0.000 0.000
0.000 3.329 0.000
0.000 0.000 10.996
V Co
2 8
Direct
0.000 0.000 0.000
0.500 0.500 0.500
0.000 0.000 0.401
0.000 0.000 0.599
0.000 0.500 0.250
0.000 0.500 0.750
0.500 0.000 0.250
0.500 0.000 0.750
0.500 0.500 0.099
0.500 0.500 0.901
```

Computed properties:
Its crystal system is tetragonal. Its space-group type is No. 139. For the formation energy from the elements, the calculation gives 292 meV/atom. The total magnetic moment comes out at 0.733 μB per atom. The final energy comes out at -72.16 eV/cell.

=====

# 19
A plane-wave DFT calculation with PBE was carried out for a geometry-optimized ZnCd2Ag8 structure.

The structure in POSCAR format:
```
ZnCd2Ag8
1.0
5.307 -4.606 0.000
5.307 4.606 0.000
-1.592 0.000 4.735
Zn Cd Ag
1 2 8
Direct
0.000 0.000 0.000
0.150 0.150 0.533
0.850 0.850 0.467
0.158 0.670 0.178
0.271 0.271 0.111
0.330 0.842 0.822
0.429 0.429 0.704
0.571 0.571 0.296
0.670 0.158 0.178
0.729 0.729 0.889
0.842 0.330 0.822
```

Computed properties:
Its crystal system is monoclinic. Its space-group type is No. 12. For the formation energy from the elements, the calculation gives 169 meV/atom. The total magnetic moment comes out at 0.000 μB per atom. The final energy comes out at -24.06 eV/cell.

=====

# 20
A plane-wave DFT calculation with PBE was carried out for a geometry-optimized EuCdInGe structure.

The structure in POSCAR format:
```
EuCdInGe
1.0
7.381 0.000 0.000
0.000 7.381 0.000
0.000 0.000 7.381
Eu Cd In Ge
4 4 4 4
Direct
0.000 0.000 0.000
0.000 0.500 0.500
0.500 0.000 0.500
0.500 0.500 0.000
0.250 0.250 0.750
0.250 0.750 0.250
0.750 0.250 0.250
0.750 0.750 0.750
0.000 0.000 0.500
0.000 0.500 0.000
0.500 0.000 0.000
0.500 0.500 0.500
0.250 0.250 0.250
0.250 0.750 0.750
0.750 0.250 0.750
0.750 0.750 0.250
```

Computed properties:
Its crystal system is cubic. Its space-group type is No. 216. For the formation energy from the elements, the calculation gives -230 meV/atom. The total magnetic moment comes out at 1.706 μB per atom. The final energy comes out at -77.86 eV/cell.